# 1
ErTmP2 | PBE | relaxed

```
ErTmP2
1.0
-0.971 -2.642 -2.732
2.037 -0.201 -3.346
4.543 -5.399 0.792
Er Tm P
1 1 2
Direct
0.669 0.669 0.993 Er
0.498 0.498 0.507 Tm
0.082 0.082 0.753 P
0.251 0.251 0.248 P
```

## Properties
* energy relative to the elements: -5.8 eV/f.u.
* SG: No. 160
* spin magnetization: 0.00 Bohr magnetons per cell



# 2
Er2TmP3 | PBE | relaxed

```
Er2TmP3
1.0
5.600 -0.009 0.000
0.013 7.912 0.000
0.000 0.000 11.899
Er Tm P
8 4 12
Direct
0.250 0.875 0.750 Er
0.250 0.375 0.750 Er
0.250 0.875 0.417 Er
0.250 0.375 0.083 Er
0.750 0.625 0.917 Er
0.750 0.125 0.583 Er
0.750 0.625 0.250 Er
0.750 0.125 0.250 Er
0.250 0.875 0.084 Tm
0.250 0.375 0.416 Tm
0.750 0.625 0.584 Tm
0.750 0.125 0.916 Tm
0.250 0.624 0.583 P
0.250 0.124 0.917 P
0.250 0.626 0.917 P
0.250 0.126 0.583 P
0.250 0.625 0.250 P
0.250 0.125 0.250 P
0.750 0.875 0.750 P
0.750 0.375 0.750 P
0.750 0.874 0.417 P
0.750 0.374 0.083 P
0.750 0.876 0.083 P
0.750 0.376 0.417 P
```

## Properties
* energy relative to the elements: -9.7 eV/f.u.
* SG: No. 62
* spin magnetization: 0.00 Bohr magnetons per cell



# 3
ErTm4P5 | PBE | relaxed

```
ErTm4P5
1.0
5.035 0.000 2.429
2.518 6.250 1.214
-0.198 0.000 6.844
Er Tm P
1 4 5
Direct
0.001 0.000 0.000 Er
0.401 0.400 0.800 Tm
0.801 0.800 0.600 Tm
0.201 0.200 0.400 Tm
0.601 0.600 0.200 Tm
0.901 0.401 0.800 P
0.302 0.800 0.599 P
0.700 0.200 0.401 P
0.101 0.599 0.200 P
0.501 0.000 0.000 P
```

## Properties
* energy relative to the elements: -16.1 eV/f.u.
* SG: No. 87
* spin magnetization: 0.00 Bohr magnetons per cell



# 4
ErTmU2P4 | PBE | relaxed

```
ErTmU2P4
1.0
3.926 0.000 0.000
0.000 6.798 0.116
0.000 -2.380 6.476
Er Tm U P
1 1 2 4
Direct
0.000 0.000 0.000 Er
0.500 0.500 0.000 Tm
0.500 0.000 0.500 U
0.000 0.500 0.500 U
0.500 0.251 0.252 P
0.500 0.749 0.748 P
0.000 0.250 0.749 P
0.000 0.750 0.251 P
```

## Properties
* energy relative to the elements: -10.3 eV/f.u.
* SG: No. 10
* spin magnetization: 4.63 Bohr magnetons per cell



# 5
Er2TmUP4 | PBE | relaxed

```
Er2TmUP4
1.0
3.940 0.000 0.000
0.000 6.834 0.131
0.000 -2.377 6.413
Er Tm U P
2 1 1 4
Direct
0.500 0.000 0.500 Er
0.000 0.500 0.500 Er
0.500 0.500 0.000 Tm
0.000 0.000 0.000 U
0.500 0.248 0.247 P
0.500 0.752 0.753 P
0.000 0.248 0.754 P
0.000 0.752 0.246 P
```

## Properties
* energy relative to the elements: -11.6 eV/f.u.
* SG: No. 10
* spin magnetization: 2.05 Bohr magnetons per cell



# 6
Y2ErTmP4 | PBE | relaxed

```
Y2ErTmP4
1.0
-1.206 -2.881 2.478
6.300 -2.815 -0.207
-0.309 4.570 5.165
Y Er Tm P
2 1 1 4
Direct
0.500 0.000 0.500 Y
0.000 0.500 0.500 Y
0.500 0.500 0.000 Er
0.000 0.000 0.000 Tm
0.500 0.248 0.246 P
0.500 0.752 0.754 P
0.000 0.251 0.753 P
0.000 0.749 0.247 P
```

## Properties
* energy relative to the elements: -12.9 eV/f.u.
* SG: No. 10
* spin magnetization: 0.00 Bohr magnetons per cell